First-principles (PBE) data for a relaxed Cd2GaCl6 crystal, as listed in Alexandria.

Calculated values
- DOS(E_F) (states/eV per cell) = 7.18
- ΔE_f (raw) (meV per atom) = -937

abc: 6.2649 6.2649 11.8697
angles: 90.00 90.00 90.00
Element x y z (fractional)
Cl: 0.1948 0.8052 0.1627
Cl: 0.6948 0.6948 0.3373
Cl: 0.6948 0.6948 0.6627
Cl: 0.3052 0.3052 0.3373
Cl: 0.1948 0.8052 0.8373
Cl: 0.7023 0.7023 0.0000
Cl: 0.8052 0.1948 0.1627
Cl: 0.7977 0.2023 0.5000
Cl: 0.3052 0.3052 0.6627
Cl: 0.8052 0.1948 0.8373
Cl: 0.2023 0.7977 0.5000
Cl: 0.2977 0.2977 0.0000
Cd: 0.5000 0.5000 0.8339
Cd: 0.5000 0.5000 0.1661
Cd: 0.0000 0.0000 0.3339
Cd: 0.0000 0.0000 0.6661
Ga: 0.0000 0.0000 0.0000
Ga: 0.5000 0.5000 0.5000


First-principles (PBE) data for a relaxed CdGa2Cl6 crystal, as listed in Alexandria.

Calculated values
- DOS(E_F) (states/eV per cell) = 5.79
- ΔE_f (raw) (meV per atom) = -874

abc: 8.3865 8.5728 8.5728
angles: 86.96 74.57 74.57
Element x y z (fractional)
Cl: 0.1372 0.8057 0.9897
Cl: 0.7418 0.6328 0.0462
Cl: 0.2418 0.0462 0.6328
Cl: 0.3628 0.0103 0.1943
Cl: 0.7582 0.9538 0.3672
Cl: 0.5389 0.6344 0.6539
Cl: 0.4611 0.3656 0.3461
Cl: 0.9611 0.3461 0.3656
Cl: 0.2582 0.3672 0.9538
Cl: 0.0389 0.6539 0.6344
Cl: 0.8628 0.1943 0.0103
Cl: 0.6372 0.9897 0.8057
Ga: 0.2421 0.2240 0.4047
Ga: 0.2579 0.5953 0.7760
Ga: 0.7421 0.4047 0.2240
Ga: 0.7579 0.7760 0.5953
Cd: 0.2500 0.0723 0.9277
Cd: 0.7500 0.9277 0.0723


First-principles (PBE) data for a relaxed CdGaCl2 crystal, as listed in Alexandria.

Calculated values
- DOS(E_F) (states/eV per cell) = 0.93
- ΔE_f (raw) (meV per atom) = -476

abc: 5.9833 5.9833 8.8609
angles: 70.27 70.27 90.00
Element x y z (fractional)
Cl: 0.6557 0.1250 0.2500
Cl: 0.0943 0.6250 0.2500
Cl: 0.8750 0.9057 0.7500
Cl: 0.3750 0.3443 0.7500
Ga: 0.2500 0.7500 0.5000
Ga: 0.5000 0.5000 0.0000
Cd: 0.7500 0.2500 0.5000
Cd: 0.0000 0.0000 0.0000